VASP calculation (PBE-GGA) on an optimized crystal structure of Ba2SrInNi.

Results
Formation enthalpy at 0 K: -0.049 eV per atom
Polymorph energy (0 for the lowest one): 23 meV/atom
Total magnetic moment: 0.00 μB/f.u.
DOS(E_F): 5.3 states/eV per cell

Cell lengths 5.9371, 5.9371, 5.7942 Å; angles 90.00, 90.00, 90.00 degrees
Space group P4/mmm (No. 123)
Inequivalent atoms, fractional coordinates:
Ba1 0.0000 0.5000 0.0000
Sr1 0.0000 0.0000 0.5000
In1 0.5000 0.5000 0.5000
Ni1 0.0000 0.0000 0.0000

---

VASP calculation (PBE-GGA) on an optimized crystal structure of La6NdSm8.

Results
Formation enthalpy at 0 K: 0.107 eV per atom
Total magnetic moment: 0.00 μB/f.u.
DOS(E_F): 73.8 states/eV per cell

Cell lengths 9.3106, 9.3106, 21.3019 Å; angles 90.00, 90.00, 120.00 degrees
Space group R-3 (No. 148, hexagonal axes)
Inequivalent atoms, fractional coordinates:
La1 0.0525 0.2459 0.2107
Nd1 0.0000 0.0000 0.5000
Sm1 0.0000 0.0000 0.0769
Sm2 0.0796 0.5649 0.3066

---

VASP calculation (PBE-GGA) on an optimized crystal structure of GaOsPb3.

Results
Formation enthalpy at 0 K: 0.571 eV per atom
Polymorph energy (0 for the lowest one): 0 meV/atom
Total magnetic moment: 0.00 μB/f.u.
DOS(E_F): 4.9 states/eV per cell

Cell lengths 5.3104, 5.3104, 5.3104 Å; angles 90.00, 90.00, 90.00 degrees
Space group Pm-3m (No. 221)
Inequivalent atoms, fractional coordinates:
Ga1 0.0000 0.0000 0.0000
Os1 0.5000 0.5000 0.5000
Pb1 0.0000 0.5000 0.5000

---

VASP calculation (PBE-GGA) on an optimized crystal structure of Ca3ZrPa2As6.

Results
Formation enthalpy at 0 K: -1.170 eV per atom
Total magnetic moment: 0.00 μB/f.u.
DOS(E_F): 17.3 states/eV per cell

Cell lengths 7.1066, 12.3093, 7.2255 Å; angles 90.00, 109.16, 90.00 degrees
Space group C2/m (No. 12)
Inequivalent atoms, fractional coordinates:
Ca1 0.0000 0.0000 0.0000
Ca2 0.0000 0.3322 0.0000
Zr1 0.0000 0.5000 0.5000
Pa1 0.0000 0.1665 0.5000
As1 0.2411 0.3357 0.7309
As2 0.2491 0.0000 0.7323

---

VASP calculation (PBE-GGA) on an optimized crystal structure of ErPu2Al9.

Results
Formation enthalpy at 0 K: -0.279 eV per atom
Total magnetic moment: 11.27 μB/f.u.
DOS(E_F): 47.6 states/eV per cell

Cell lengths 5.4976, 5.4976, 26.5446 Å; angles 90.00, 90.00, 120.00 degrees
Space group R-3m (No. 166, hexagonal axes)
Inequivalent atoms, fractional coordinates:
Er1 0.0000 0.0000 0.0000
Pu1 0.0000 0.0000 0.1443
Al1 0.0000 0.0000 0.3346
Al2 0.0000 0.0000 0.5000
Al3 0.0051 0.5026 0.9170

---

VASP calculation (PBE-GGA) on an optimized crystal structure of GdHoPuZn.

Results
Formation enthalpy at 0 K: 0.117 eV per atom
Total magnetic moment: 0.95 μB/f.u.
DOS(E_F): 59.1 states/eV per cell

Cell lengths 7.4547, 7.4547, 7.4547 Å; angles 90.00, 90.00, 90.00 degrees
Space group F-43m (No. 216)
Inequivalent atoms, fractional coordinates:
Gd1 0.0000 0.0000 0.0000
Ho1 0.0000 0.0000 0.5000
Pu1 0.2500 0.2500 0.7500
Zn1 0.2500 0.2500 0.2500

---

VASP calculation (PBE-GGA) on an optimized crystal structure of Be2TlNi.

Results
Formation enthalpy at 0 K: 0.457 eV per atom
Polymorph energy (0 for the lowest one): 303 meV/atom
Total magnetic moment: 0.00 μB/f.u.
DOS(E_F): 4.1 states/eV per cell

Cell lengths 5.9269, 5.9269, 5.9269 Å; angles 90.00, 90.00, 90.00 degrees
Space group F-43m (No. 216)
Inequivalent atoms, fractional coordinates:
Be1 0.0000 0.0000 0.0000
Be2 0.2500 0.2500 0.2500
Tl1 0.0000 0.0000 0.5000
Ni1 0.2500 0.2500 0.7500

---

VASP calculation (PBE-GGA) on an optimized crystal structure of CsHg3H.

Results
Polymorph energy (0 for the lowest one): 0 meV/atom
Total magnetic moment: 0.00 μB/f.u.
DOS(E_F): 2.6 states/eV per cell

Cell lengths 4.9453, 5.8363, 11.3874 Å; angles 93.38, 102.08, 90.20 degrees
Space group P-1 (No. 2)
Inequivalent atoms, fractional coordinates:
Cs1 0.1184 0.2458 0.2297
Hg1 0.2487 0.8370 0.4975
Hg2 0.3304 0.2691 0.6692
Hg3 0.4744 0.2426 0.9408
H1 0.3045 0.6031 0.6140

---

VASP calculation (PBE-GGA) on an optimized crystal structure of SrPrNpN3.

Results
Total magnetic moment: 0.27 μB/f.u.
DOS(E_F): 3.9 states/eV per cell
Energy relative to the elements, uncorrected: -484 kJ/mol of formula units

Cell lengths 7.8164, 3.7132, 8.7363 Å; angles 90.00, 98.38, 90.00 degrees
Space group P2_1/m (No. 11)
Inequivalent atoms, fractional coordinates:
Sr1 0.1655 0.2500 0.1360
Pr1 0.3919 0.7500 0.8399
Np1 0.0559 0.2500 0.5929
N1 0.0918 0.2500 0.8232
N2 0.2010 0.7500 0.5749
N3 0.4026 0.7500 0.1145

---

VASP calculation (PBE-GGA) on an optimized crystal structure of ZrIrW.

Results
Formation enthalpy at 0 K: -0.222 eV per atom
Polymorph energy (0 for the lowest one): 49 meV/atom
Total magnetic moment: 0.00 μB/f.u.
DOS(E_F): 4.9 states/eV per cell

Cell lengths 2.9002, 2.9002, 12.4289 Å; angles 90.00, 90.00, 90.00 degrees
Space group I4mm (No. 107)
Inequivalent atoms, fractional coordinates:
Zr1 0.0000 0.0000 0.0000
Ir1 0.0000 0.0000 0.6715
W1 0.0000 0.0000 0.3128

---

VASP calculation (PBE-GGA) on an optimized crystal structure of SmY5Te6.

Results
Total magnetic moment: 0.00 μB/f.u.
DOS(E_F): 11.7 states/eV per cell
Energy relative to the elements, uncorrected: -1533 kJ/mol of formula units

Cell lengths 7.5821, 13.1657, 7.5693 Å; angles 90.00, 109.54, 90.00 degrees
Space group C2/m (No. 12)
Inequivalent atoms, fractional coordinates:
Sm1 0.0000 0.0000 0.0000
Y1 0.0000 0.1602 0.5000
Y2 0.0000 0.3337 0.0000
Y3 0.0000 0.5000 0.5000
Te1 0.2437 0.5000 0.2485
Te2 0.2458 0.3302 0.7458

---

VASP calculation (PBE-GGA) on an optimized crystal structure of NdPuTlAg.

Results
Formation enthalpy at 0 K: -0.087 eV per atom
Total magnetic moment: 6.05 μB/f.u.
DOS(E_F): 49.6 states/eV per cell

Cell lengths 7.6118, 7.6118, 7.6118 Å; angles 90.00, 90.00, 90.00 degrees
Space group F-43m (No. 216)
Inequivalent atoms, fractional coordinates:
Nd1 0.0000 0.0000 0.0000
Pu1 0.0000 0.0000 0.5000
Tl1 0.2500 0.2500 0.7500
Ag1 0.2500 0.2500 0.2500

---

VASP calculation (PBE-GGA) on an optimized crystal structure of Th2Ni7.

Results
Formation enthalpy at 0 K: -0.432 eV per atom
Total magnetic moment: 0.00 μB/f.u.
DOS(E_F): 58.3 states/eV per cell

Cell lengths 4.9889, 4.9889, 37.1269 Å; angles 90.00, 90.00, 120.00 degrees
Space group R-3m (No. 166, hexagonal axes)
Inequivalent atoms, fractional coordinates:
Th1 0.0000 0.0000 0.0494
Th2 0.0000 0.0000 0.1452
Ni1 0.0000 0.0000 0.2784
Ni2 0.0000 0.0000 0.3881
Ni3 0.0000 0.0000 0.5000
Ni4 0.0000 0.5000 0.0000
Ni5 0.0011 0.5006 0.8906

---

VASP calculation (PBE-GGA) on an optimized crystal structure of KBC.

Results
Formation enthalpy at 0 K: 0.181 eV per atom
Total magnetic moment: 0.00 μB/f.u.
DOS(E_F): 0.6 states/eV per cell

Cell lengths 2.8491, 4.4830, 9.3503 Å; angles 84.03, 82.14, 90.00 degrees
Space group P1 (No. 1)
Inequivalent atoms, fractional coordinates:
K1 0.0000 0.0000 0.0000
K2 0.2393 0.3939 0.4669
B1 0.1104 0.5005 0.7540
B2 0.6282 0.0036 0.7143
C1 0.1305 0.8521 0.7093
C2 0.6097 0.3428 0.7557

---

VASP calculation (PBE-GGA) on an optimized crystal structure of KSBr2.

Results
Polymorph energy (0 for the lowest one): 95 meV/atom
Total magnetic moment: 0.00 μB/f.u.
DOS(E_F): 4.7 states/eV per cell
Energy relative to the elements, uncorrected: -157 kJ/mol of formula units

Cell lengths 6.0405, 6.0405, 16.7929 Å; angles 90.00, 90.00, 90.00 degrees
Space group I-42d (No. 122)
Inequivalent atoms, fractional coordinates:
K1 0.0000 0.0000 0.0000
S1 0.0000 0.0000 0.5000
Br1 0.1413 0.2500 0.6250

---

VASP calculation (PBE-GGA) on an optimized crystal structure of ZnAgTe3.

Results
Polymorph energy (0 for the lowest one): 0 meV/atom
Total magnetic moment: 0.00 μB/f.u.
DOS(E_F): 5.5 states/eV per cell
Energy relative to the elements, uncorrected: 249 kJ/mol of formula units

Cell lengths 5.3304, 5.3304, 5.3304 Å; angles 90.00, 90.00, 90.00 degrees
Space group Pm-3m (No. 221)
Inequivalent atoms, fractional coordinates:
Zn1 0.0000 0.0000 0.0000
Ag1 0.5000 0.5000 0.5000
Te1 0.0000 0.0000 0.5000

---

VASP calculation (PBE-GGA) on an optimized crystal structure of ZrAlPt2.

Results
Formation enthalpy at 0 K: -0.480 eV per atom
Total magnetic moment: 0.00 μB/f.u.
DOS(E_F): 9.9 states/eV per cell

Cell lengths 2.9439, 2.9439, 27.4016 Å; angles 90.00, 90.00, 120.00 degrees
Space group R3m (No. 160, hexagonal axes)
Inequivalent atoms, fractional coordinates:
Zr1 0.0000 0.0000 0.0000
Al1 0.0000 0.0000 0.2425
Pt1 0.0000 0.0000 0.5051
Pt2 0.0000 0.0000 0.7510

---

VASP calculation (PBE-GGA) on an optimized crystal structure of NaSn4Se6.

Results
Total magnetic moment: 0.00 μB/f.u.
DOS(E_F): 3.7 states/eV per cell
Energy relative to the elements, uncorrected: -429 kJ/mol of formula units

Cell lengths 9.1410, 8.1898, 8.2945 Å; angles 90.00, 94.06, 90.00 degrees
Space group Cm (No. 8)
Inequivalent atoms, fractional coordinates:
Na1 0.0000 0.0000 0.0000
Sn1 0.2849 0.2332 0.6961
Sn2 0.3684 0.5000 0.3263
Sn3 0.3835 0.0000 0.1978
Se1 0.1890 0.2382 0.3742
Se2 0.2323 0.2511 0.0123
Se3 0.4675 0.5000 0.6588
Se4 0.4849 0.0000 0.6859

---

VASP calculation (PBE-GGA) on an optimized crystal structure of MgGe2As.

Results
Formation enthalpy at 0 K: 0.204 eV per atom
Polymorph energy (0 for the lowest one): 65 meV/atom
Total magnetic moment: 0.00 μB/f.u.
DOS(E_F): 7.1 states/eV per cell

Cell lengths 6.8180, 6.8180, 6.8180 Å; angles 90.00, 90.00, 90.00 degrees
Space group Fm-3m (No. 225)
Inequivalent atoms, fractional coordinates:
Mg1 0.0000 0.0000 0.0000
Ge1 0.2500 0.2500 0.2500
As1 0.0000 0.0000 0.5000

---

VASP calculation (PBE-GGA) on an optimized crystal structure of CrNiAs2.

Results
Formation enthalpy at 0 K: 0.049 eV per atom
Polymorph energy (0 for the lowest one): 168 meV/atom
Total magnetic moment: 2.67 μB/f.u.
DOS(E_F): 3.0 states/eV per cell

Cell lengths 4.3855, 4.3855, 2.9890 Å; angles 90.00, 90.00, 90.00 degrees
Space group P4/mmm (No. 123)
Inequivalent atoms, fractional coordinates:
Cr1 0.0000 0.0000 0.0000
Ni1 0.5000 0.5000 0.0000
As1 0.0000 0.5000 0.5000